Y3Er2S7 after structural relaxation, computed with GGA-PBE.

polymorph energy (0 for the lowest one): 13 meV/atom
electronic total energy: -82.2 eV per cell

a b c (Å): 6.7030 6.7030 11.5692
angles (deg): 104.01 104.01 32.87
Sites, in units of the cell vectors:
Y 0.0000 0.0000 0.0000
Y 0.1121 0.1121 0.4210
Y 0.8879 0.8879 0.5790
Er 0.3001 0.3001 0.1867
Er 0.6999 0.6999 0.8133
S 0.0436 0.0436 0.7852
S 0.2584 0.2584 0.6492
S 0.3392 0.3392 0.9484
S 0.5000 0.5000 0.5000
S 0.6609 0.6609 0.0516
S 0.7416 0.7416 0.3508
S 0.9564 0.9564 0.2148